{
  "formula": "TaMnRu2",
  "functional": "PBE",
  "state": "optimized geometry",
  "lattice_angstrom": [[-1.925, 1.925, 8.681], [1.925, -1.925, 8.681], [1.925, 1.925, -8.681]],
  "species": ["Ta", "Ta", "Mn", "Mn", "Ru", "Ru", "Ru", "Ru"],
  "fractional_positions": [[0.000, 0.000, 0.000], [0.750, 0.250, 0.500], [0.250, 0.750, 0.500], [0.500, 0.500, 0.000], [0.168, 0.625, 0.043], [0.375, 0.418, 0.543], [0.582, 0.125, 0.957], [0.875, 0.832, 0.457]],
  "ef_mev_per_atom": 519,
  "crystal_system": "tetragonal",
  "volume_a3_per_cell": 128.6
}



{
  "formula": "Sn2HgOs2",
  "functional": "PBE",
  "state": "optimized geometry",
  "lattice_angstrom": [[7.680, 0.000, 0.000], [0.000, 7.680, 0.000], [0.000, 0.000, 3.197]],
  "species": ["Sn", "Sn", "Sn", "Sn", "Hg", "Hg", "Os", "Os", "Os", "Os"],
  "fractional_positions": [[0.151, 0.349, 0.000], [0.349, 0.849, 0.000], [0.651, 0.151, 0.000], [0.849, 0.651, 0.000], [0.000, 0.000, 0.500], [0.500, 0.500, 0.500], [0.146, 0.646, 0.500], [0.354, 0.146, 0.500], [0.646, 0.854, 0.500], [0.854, 0.354, 0.500]],
  "ef_mev_per_atom": 395,
  "crystal_system": "tetragonal",
  "volume_a3_per_cell": 188.6
}



{
  "formula": "Tc3BI",
  "functional": "PBE",
  "state": "optimized geometry",
  "lattice_angstrom": [[4.837, 0.000, 0.000], [0.000, 4.837, 0.000], [0.000, 0.000, 4.837]],
  "species": ["Tc", "Tc", "Tc", "B", "I"],
  "fractional_positions": [[0.000, 0.000, 0.500], [0.000, 0.500, 0.000], [0.500, 0.000, 0.000], [0.500, 0.500, 0.500], [0.000, 0.000, 0.000]],
  "raw_formation_energy_ev_per_atom": 2.937,
  "crystal_system": "cubic",
  "volume_a3_per_cell": 113.2
}



- What is the formula in the first record?
  TaMnRu2



- Which formula does entry 2 have?
  Sn2HgOs2



Copy entry 1 word for word.
{
  "formula": "TaMnRu2",
  "functional": "PBE",
  "state": "optimized geometry",
  "lattice_angstrom": [[-1.925, 1.925, 8.681], [1.925, -1.925, 8.681], [1.925, 1.925, -8.681]],
  "species": ["Ta", "Ta", "Mn", "Mn", "Ru", "Ru", "Ru", "Ru"],
  "fractional_positions": [[0.000, 0.000, 0.000], [0.750, 0.250, 0.500], [0.250, 0.750, 0.500], [0.500, 0.500, 0.000], [0.168, 0.625, 0.043], [0.375, 0.418, 0.543], [0.582, 0.125, 0.957], [0.875, 0.832, 0.457]],
  "ef_mev_per_atom": 519,
  "crystal_system": "tetragonal",
  "volume_a3_per_cell": 128.6
}